(1)
Computed, not measured: Hf9Mo4P after structural relaxation at the GGA-PBEsol level of DFT.

CIF file:
```
data_Hf9Mo4P
_cell_length_a 8.5117
_cell_length_b 8.5117
_cell_length_c 8.5386
_cell_angle_alpha 90.00
_cell_angle_beta 90.00
_cell_angle_gamma 120.00
_space_group_name_H-M_alt 'P 63/m m c'
_space_group_IT_number 194
_space_group_name_Hall '-P 6c 2c'
loop_
_atom_site_label
_atom_site_type_symbol
_atom_site_fract_x
_atom_site_fract_y
_atom_site_fract_z
Hf1 Hf 0.0755 0.5378 0.2500
Hf2 Hf 0.1985 0.3970 0.5462
Mo1 Mo 0.0000 0.0000 0.0000
Mo2 Mo 0.1099 0.2199 0.2500
P1 P 0.3333 0.6667 0.7500
```

Properties
Volume (Å³/cell): 535.7
Energy of formation from the pure elements (meV/atom): -310
Density (g cm⁻³): 12.5


(2)
Computed, not measured: HfMoP after structural relaxation at the GGA-PBEsol level of DFT.

CIF file:
```
data_HfMoP
_cell_length_a 6.8536
_cell_length_b 6.8536
_cell_length_c 3.3755
_cell_angle_alpha 90.00
_cell_angle_beta 90.00
_cell_angle_gamma 120.00
_space_group_name_H-M_alt 'P -6 2 m'
_space_group_IT_number 189
_space_group_name_Hall 'P -6 -2'
loop_
_atom_site_label
_atom_site_type_symbol
_atom_site_fract_x
_atom_site_fract_y
_atom_site_fract_z
Hf1 Hf 0.0000 0.5964 0.0000
Mo1 Mo 0.0000 0.2530 0.5000
P1 P 0.0000 0.0000 0.0000
P2 P 0.3333 0.6667 0.5000
```

Properties
Volume (Å³/cell): 137.3
Energy of formation from the pure elements (meV/atom): -1045
Density (g cm⁻³): 11.1


(3)
Computed, not measured: Hf3MoPd after structural relaxation at the GGA-PBEsol level of DFT.

CIF file:
```
data_Hf3MoPd
_cell_length_a 4.871
_cell_length_b 4.871
_cell_length_c 4.871
_cell_angle_alpha 90.00
_cell_angle_beta 90.00
_cell_angle_gamma 90.00
_space_group_name_H-M_alt 'P m -3 m'
_space_group_IT_number 221
_space_group_name_Hall '-P 4 2 3'
loop_
_atom_site_label
_atom_site_type_symbol
_atom_site_fract_x
_atom_site_fract_y
_atom_site_fract_z
Hf1 Hf 0.000 0.000 0.500
Mo1 Mo 0.000 0.000 0.000
Pd1 Pd 0.500 0.500 0.500
```

Properties
Volume (Å³/cell): 115.6
Energy of formation from the pure elements (meV/atom): 888
Density (g cm⁻³): 10.6


(4)
Computed, not measured: Hf2TlMoPd after structural relaxation at the GGA-PBEsol level of DFT.

CIF file:
```
data_Hf2TlMoPd
_cell_length_a 4.912
_cell_length_b 4.912
_cell_length_c 4.835
_cell_angle_alpha 90.00
_cell_angle_beta 90.00
_cell_angle_gamma 90.00
_space_group_name_H-M_alt 'P 4/m m m'
_space_group_IT_number 123
_space_group_name_Hall '-P 4 2'
loop_
_atom_site_label
_atom_site_type_symbol
_atom_site_fract_x
_atom_site_fract_y
_atom_site_fract_z
Hf1 Hf 0.000 0.500 0.000
Tl1 Tl 0.000 0.000 0.500
Mo1 Mo 0.500 0.500 0.000
Pd1 Pd 0.500 0.500 0.500
```

Properties
Volume (Å³/cell): 116.7
Energy of formation from the pure elements (meV/atom): 798
Density (g cm⁻³): 10.9